Compound: Y4Te
Source: the Alexandria database
Functional: GGA-PBE
Structure: optimized geometry

a = 9.978 Å, b = 9.978 Å, c = 9.978 Å
α = 155.94°, β = 155.94°, γ = 34.29°
Element x y z (fractional)
1 Y 0.750 0.250 0.500
2 Y 0.250 0.750 0.500
3 Y 0.594 0.594 0.000
4 Y 0.406 0.406 0.000
5 Te 0.000 0.000 0.000

## Properties
relative energy among the computed polymorphs	0.387	eV/atom
size of the total moment	1.53	μB/f.u.
V	165	Å³/f.u.
total DFT energy (no corrections)	-5.7590	eV/atom
DOS at the Fermi energy	6.223	states/eV/f.u.